Below is a relaxed Tl2SnSbSe4 crystal, with properties calculated at the PBE-GGA level.

## Properties
- E_tot (eV per atom) = -3.6069
- raw formation energy (eV per atom) = -0.2574

abc: 8.142 8.142 7.263
angles: 90.00 90.00 90.00
Space group I-42m (No. 121)
Unique sites:
1 Tl 0.000 0.500 0.000 (multiplicity 4)
2 Sn 0.000 0.000 0.000 (multiplicity 2)
3 Sb 0.000 0.000 0.500 (multiplicity 2)
4 Se 0.182 0.182 0.245 (multiplicity 8)


Below is a relaxed Tl3Sn2SbSe6 crystal, with properties calculated at the PBE-GGA level.

## Properties
- E_tot (eV per atom) = -3.7188
- raw formation energy (eV per atom) = -0.3743

abc: 7.246 12.516 7.969
angles: 90.00 107.57 90.00
Space group C2/m (No. 12)
Unique sites:
1 Tl 0.000 0.000 0.000 (multiplicity 2)
2 Tl 0.000 0.334 0.000 (multiplicity 4)
3 Sn 0.000 0.167 0.500 (multiplicity 4)
4 Sb 0.000 0.500 0.500 (multiplicity 2)
5 Se 0.238 0.000 0.715 (multiplicity 4)
6 Se 0.239 0.333 0.716 (multiplicity 8)


Below is a relaxed TlSnSbSe3 crystal, with properties calculated at the PBE-GGA level.

## Properties
- E_tot (eV per atom) = -3.8321
- raw formation energy (eV per atom) = -0.3413

abc: 9.048 4.112 9.965
angles: 90.00 92.62 90.00
Space group P2_1/m (No. 11)
Unique sites:
1 Tl 0.149 0.250 0.198 (multiplicity 2)
2 Sn 0.132 0.250 0.594 (multiplicity 2)
3 Sb 0.369 0.750 0.865 (multiplicity 2)
4 Se 0.143 0.250 0.878 (multiplicity 2)
5 Se 0.330 0.750 0.572 (multiplicity 2)
6 Se 0.409 0.750 0.151 (multiplicity 2)


Below is a relaxed Tl3SnSb3Se8 crystal, with properties calculated at the PBE-GGA level.

## Properties
- E_tot (eV per atom) = -3.7701
- raw formation energy (eV per atom) = -0.3471

abc: 8.2590 8.2590 23.4652
angles: 90.00 90.00 120.00
Space group R-3m (No. 166, hexagonal axes)
Unique sites:
1 Tl 0.0000 0.5000 0.0000 (multiplicity 9)
2 Sn 0.0000 0.0000 0.5000 (multiplicity 3)
3 Sb 0.0000 0.5000 0.5000 (multiplicity 9)
4 Se 0.0000 0.0000 0.2371 (multiplicity 6)
5 Se 0.0151 0.5076 0.2345 (multiplicity 18)


no.,magnetic moment (μB/f.u.)
1,0.000
2,0.000
3,0.000
4,0.000